# TbYGaCo | the Alexandria database | PBE-GGA | relaxed
data_TbYGaCo
_chemical_formula_sum 'Tb1 Y1 Ga1 Co1'
_space_group_name_H-M_alt 'P 1'
_space_group_IT_number 1
_cell_length_a 3.877
_cell_length_b 4.235
_cell_length_c 5.691
_cell_angle_alpha 90.00
_cell_angle_beta 109.92
_cell_angle_gamma 90.00
loop_
_space_group_symop_operation_xyz
'x,y,z'
loop_
_atom_site_label
_atom_site_type_symbol
_atom_site_fract_x
_atom_site_fract_y
_atom_site_fract_z
_atom_site_occupancy
Co1 Co 0.329 0.000 0.658 1
Tb1 Tb 0.750 0.500 0.501 1
Y1 Y 0.033 0.000 0.065 1
Ga1 Ga 0.457 0.500 0.915 1
# formation enthalpy at 0 K	-8.89	kcal/mol of atoms
# magnetization	0.0	μB/f.u.
# V	21.96	Å³ per atom
# ΔE to the lowest computed polymorph	0.0000	eV/atom
# crystal system	orthorhombic